{
  "formula": "Sm2Dy6Y3Tm",
  "functional": "GGA-PBE",
  "state": "optimized geometry",
  "space_group": "C2/m, No. 12",
  "ef_ev_per_fu": 0.2,
  "e_tot_ev_per_atom": -5.058,
  "cell": [[3.083, -5.334, 0.000], [3.083, 5.334, 0.000], [-2.042, 0.000, 11.623]],
  "species": ["Sm", "Sm", "Dy", "Dy", "Dy", "Dy", "Dy", "Dy", "Y", "Y", "Y", "Tm"],
  "fractional_positions": [[0.167, 0.833, 0.000], [0.833, 0.167, 0.000], [0.084, 0.416, 0.750], [0.251, 0.251, 0.250], [0.416, 0.084, 0.750], [0.584, 0.916, 0.250], [0.749, 0.749, 0.750], [0.916, 0.584, 0.250], [0.000, 0.000, 0.500], [0.334, 0.666, 0.500], [0.666, 0.334, 0.500], [0.500, 0.500, 0.000]]
}